1.
Material: CaGeBr2
Method: DFT, PBE
State: optimized geometry

Cell and atoms, written as POSCAR:
```
CaGeBr2
1.0
0.191 -3.940 3.491
-1.183 0.899 5.054
-4.456 -1.925 2.045
Br Ge Ca
2 1 1
direct
0.250 0.250 0.250
0.750 0.750 0.750
0.500 0.500 0.500
0.000 0.000 0.000
```

Results
- relative energy among the computed polymorphs (kJ/mol of atoms) = 60.39

2.
Material: CrAg2Mo
Method: DFT, PBE
State: optimized geometry

Cell and atoms, written as POSCAR:
```
CrAg2Mo
1.0
3.065 0.000 0.000
0.000 3.066 0.000
0.000 0.000 7.012
Ag Mo Cr
2 1 1
direct
0.000 0.000 0.996
0.500 0.500 0.267
0.500 0.500 0.704
0.000 0.000 0.534
```

Results
- relative energy among the computed polymorphs (kJ/mol of atoms) = 7.59
- E_form (meV per atom) = 417

3.
Material: GaPtI2
Method: DFT, PBE
State: optimized geometry

Cell and atoms, written as POSCAR:
```
GaPtI2
1.0
-5.061 -3.612 -2.782
4.336 -2.530 -4.604
0.992 -8.067 0.328
I Pt Ga
4 2 2
direct
0.060 0.625 0.250
0.875 0.940 0.750
0.690 0.125 0.250
0.375 0.310 0.750
0.750 0.250 0.500
0.000 0.000 0.000
0.250 0.750 0.500
0.500 0.500 0.000
```

Results
- relative energy among the computed polymorphs (kJ/mol of atoms) = 0.00

4.
Material: YIn2Rh
Method: DFT, PBE
State: optimized geometry

Cell and atoms, written as POSCAR:
```
YIn2Rh
1.0
-1.614 0.726 2.921
2.228 -1.941 1.713
4.494 6.029 0.984
In Y Rh
2 1 1
direct
0.500 0.500 0.288
0.000 0.000 0.018
0.500 0.500 0.712
0.000 0.000 0.482
```

Results
- E_form (meV per atom) = -406

5.
Material: AlV2Os
Method: DFT, PBE
State: optimized geometry

Cell and atoms, written as POSCAR:
```
AlV2Os
1.0
2.903 0.000 -0.904
-0.534 3.769 -1.716
-0.019 -0.015 5.053
Al Os V
1 1 2
direct
0.000 0.500 0.000
0.500 0.000 0.000
0.239 0.239 0.478
0.761 0.761 0.522
```

Results
- E_form (meV per atom) = -353

6.
Material: BePt3Au
Method: DFT, PBE
State: optimized geometry

Cell and atoms, written as POSCAR:
```
BePt3Au
1.0
4.264 0.000 0.000
0.000 4.264 0.000
0.000 0.000 4.264
Pt Be Au
3 1 1
direct
0.500 0.000 0.000
0.000 0.000 0.500
0.000 0.500 0.000
0.000 0.000 0.000
0.500 0.500 0.500
```

Results
- relative energy among the computed polymorphs (kJ/mol of atoms) = 0.00
- E_form (meV per atom) = 63

7.
Material: Na3AsH14SO10
Method: DFT, PBE
State: optimized geometry

Cell and atoms, written as POSCAR:
```
Na3AsH14SO10
1.0
6.737 0.211 0.000
-0.296 6.972 0.000
0.000 0.000 12.917
H O As Na S
28 20 2 6 2
direct
0.423 0.004 0.102
0.301 0.808 0.773
0.669 0.413 0.234
0.444 0.455 0.516
0.808 0.390 0.085
0.885 0.362 0.362
0.995 0.678 0.966
0.699 0.192 0.273
0.191 0.942 0.100
0.199 0.837 0.568
0.512 0.956 0.359
0.172 0.613 0.156
0.363 0.014 0.450
0.598 0.438 0.675
0.556 0.545 0.016
0.488 0.044 0.859
0.828 0.387 0.656
0.801 0.163 0.068
0.577 0.996 0.602
0.637 0.986 0.950
0.115 0.638 0.862
0.454 0.582 0.905
0.546 0.418 0.405
0.005 0.322 0.466
0.192 0.610 0.585
0.402 0.562 0.175
0.331 0.587 0.734
0.809 0.058 0.600
0.335 0.039 0.578
0.502 0.518 0.454
0.371 0.978 0.375
0.020 0.752 0.090
0.880 0.283 0.052
0.264 0.524 0.194
0.736 0.476 0.694
0.338 0.677 0.795
0.120 0.717 0.552
0.716 0.947 0.610
0.017 0.381 0.395
0.983 0.619 0.895
0.662 0.323 0.295
0.498 0.482 0.954
0.665 0.961 0.078
0.658 0.577 0.141
0.342 0.423 0.641
0.284 0.053 0.110
0.980 0.248 0.590
0.629 0.022 0.875
0.793 0.792 0.149
0.207 0.208 0.649
0.786 0.333 0.870
0.212 0.204 0.269
0.790 0.679 0.511
0.788 0.796 0.769
0.214 0.667 0.370
0.210 0.321 0.011
0.839 0.893 0.306
0.161 0.107 0.806
```

8.
Material: Sc2TcPd
Method: DFT, PBE
State: optimized geometry

Cell and atoms, written as POSCAR:
```
Sc2TcPd
1.0
1.803 0.000 9.016
-0.901 1.561 9.016
-0.901 -1.561 9.016
Sc Tc Pd
2 1 1
direct
0.093 0.093 0.093
0.907 0.907 0.907
0.500 0.500 0.500
0.000 0.000 0.000
```

Results
- relative energy among the computed polymorphs (kJ/mol of atoms) = 48.62
- E_form (meV per atom) = -75

9.
Material: CrH4Rh
Method: DFT, PBE
State: optimized geometry

Cell and atoms, written as POSCAR:
```
CrH4Rh
1.0
-1.622 -2.588 0.519
1.944 -0.760 2.290
-2.415 2.062 2.735
H Rh Cr
4 1 1
direct
0.501 0.997 0.747
0.001 0.497 0.249
0.001 0.497 0.747
0.501 0.997 0.249
0.001 0.997 0.498
0.501 0.497 0.998
```

10.
Material: Mn2PdPb
Method: DFT, PBE
State: optimized geometry

Cell and atoms, written as POSCAR:
```
Mn2PdPb
1.0
-1.765 -5.897 4.118
6.897 -2.591 -0.755
3.343 -2.853 4.006
Mn Pb Pd
4 2 2
direct
0.153 0.625 0.250
0.597 0.125 0.250
0.875 0.847 0.750
0.375 0.403 0.750
0.750 0.250 0.500
0.000 0.000 0.000
0.500 0.500 0.000
0.250 0.750 0.500
```

Results
- E_form (meV per atom) = 416

11.
Material: CdW8
Method: DFT, PBE
State: optimized geometry

Cell and atoms, written as POSCAR:
```
CdW8
1.0
3.402 -5.219 -0.221
-5.092 2.142 2.890
-2.468 -0.436 -5.708
W Cd
8 1
direct
0.336 0.664 0.000
0.334 0.000 0.334
0.336 0.336 0.671
0.664 0.664 0.329
0.666 0.000 0.666
0.664 0.336 0.000
0.000 0.666 0.666
0.000 0.334 0.334
0.000 0.000 0.000
```

Results
- E_form (meV per atom) = 515

12.
Material: Dy7SnRu4
Method: DFT, PBE
State: optimized geometry

Cell and atoms, written as POSCAR:
```
Dy7SnRu4
1.0
5.525 0.000 0.000
2.762 7.867 0.269
2.762 0.692 6.707
Dy Ru Sn
7 4 1
direct
0.319 0.633 0.729
0.788 0.879 0.544
0.212 0.121 0.456
0.681 0.367 0.271
0.924 0.375 0.777
0.076 0.625 0.223
0.500 0.000 0.000
0.698 0.649 0.954
0.302 0.351 0.046
0.434 0.777 0.355
0.566 0.223 0.645
0.000 0.000 0.000
```

Results
- E_form (meV per atom) = -116

13.
Material: GaRhI2
Method: DFT, PBE
State: optimized geometry

Cell and atoms, written as POSCAR:
```
GaRhI2
1.0
4.729 -0.366 2.273
0.908 -3.729 3.596
3.162 -4.043 -1.145
Ga Rh I
1 1 2
direct
0.000 0.000 0.000
0.500 0.500 0.500
0.750 0.750 0.750
0.250 0.250 0.250
```

Results
- relative energy among the computed polymorphs (kJ/mol of atoms) = 23.76

14.
Material: AlHgBr2
Method: DFT, PBE
State: optimized geometry

Cell and atoms, written as POSCAR:
```
AlHgBr2
1.0
7.516 -0.002 -0.004
-3.534 4.496 -0.013
0.449 1.839 3.611
Br Al Hg
2 1 1
direct
0.500 0.000 0.500
0.000 0.000 0.000
0.500 0.500 0.000
0.000 0.500 0.500
```

Results
- relative energy among the computed polymorphs (kJ/mol of atoms) = 40.88

15.
Material: PmNd3Au
Method: DFT, PBE
State: optimized geometry

Cell and atoms, written as POSCAR:
```
PmNd3Au
1.0
6.057 0.000 0.000
0.000 7.903 0.000
0.000 -3.951 7.334
Pm Nd Au
2 6 2
direct
0.818 0.569 0.137
0.318 0.431 0.863
0.304 0.886 0.279
0.804 0.114 0.721
0.793 0.073 0.147
0.293 0.927 0.853
0.804 0.607 0.721
0.304 0.393 0.279
0.567 0.748 0.496
0.067 0.252 0.504
```

Results
- E_form (meV per atom) = -141

16.
Material: PmH6Pd2Pt
Method: DFT, PBE
State: optimized geometry

Cell and atoms, written as POSCAR:
```
PmH6Pd2Pt
1.0
4.985 0.003 -0.040
-2.492 4.324 0.003
-2.523 -1.474 4.631
H Pt Pm Pd
6 1 1 2
direct
0.822 0.757 0.158
0.109 0.353 0.168
0.138 0.089 0.691
0.425 0.063 0.156
0.656 0.567 0.694
0.617 0.053 0.695
0.961 0.981 0.923
0.079 0.540 0.608
0.515 0.752 0.260
0.643 0.323 0.947
```

17.
Material: La6Pm3Sm2
Method: DFT, PBE
State: optimized geometry

Cell and atoms, written as POSCAR:
```
La6Pm3Sm2
1.0
-0.467 5.668 1.499
-1.018 1.487 5.598
12.445 2.862 4.592
Pm La Sm
3 6 2
direct
0.000 0.000 0.000
0.737 0.737 0.788
0.263 0.263 0.212
0.082 0.082 0.754
0.366 0.366 0.903
0.634 0.634 0.097
0.832 0.832 0.503
0.918 0.918 0.246
0.168 0.168 0.497
0.455 0.455 0.635
0.545 0.545 0.365
```

Results
- relative energy among the computed polymorphs (kJ/mol of atoms) = 0.00
- E_form (meV per atom) = 98

18.
Material: Pr2YEr3Bi6
Method: DFT, PBE
State: optimized geometry

Cell and atoms, written as POSCAR:
```
Pr2YEr3Bi6
1.0
4.523 0.000 0.000
0.000 9.030 0.332
-2.261 -2.591 9.497
Bi Er Y Pr
6 3 1 2
direct
0.004 0.750 0.008
0.664 0.590 0.328
0.667 0.074 0.333
0.336 0.410 0.672
0.996 0.250 0.992
0.333 0.926 0.667
0.500 0.500 0.000
0.168 0.834 0.336
0.832 0.166 0.664
0.500 0.000 0.000
0.166 0.332 0.332
0.834 0.668 0.668
```

Results
- E_form (meV per atom) = -870

19.
Material: TaAs3W
Method: DFT, PBE
State: optimized geometry

Cell and atoms, written as POSCAR:
```
TaAs3W
1.0
4.947 0.000 0.000
0.000 4.947 0.000
0.000 0.000 4.947
As W Ta
3 1 1
direct
0.000 0.000 0.500
0.500 0.000 0.000
0.000 0.500 0.000
0.500 0.500 0.500
0.000 0.000 0.000
```

Results
- E_form (meV per atom) = 1269

20.
Material: Mg2In3Ag
Method: DFT, PBE
State: optimized geometry

Cell and atoms, written as POSCAR:
```
Mg2In3Ag
1.0
3.217 0.000 0.000
0.000 4.544 0.000
0.000 0.000 9.642
Mg In Ag
2 3 1
direct
0.000 0.500 0.026
0.000 0.000 0.465
0.500 0.000 0.172
0.500 0.500 0.643
0.500 0.000 0.848
0.500 0.500 0.347
```

Results
- E_form (meV per atom) = -32

| no. | final energy (eV per atom) | size of the total moment (μB per formula unit) | V (Å³/atom) |
| --- | --- | --- | --- |
| 1 | -3.11 | 0.0 | 25.8 |
| 2 | -6.12 | 0.7 | 16.5 |
| 3 | -2.89 | 0.0 | 38.0 |
| 4 | -5.23 | 0.0 | 22.1 |
| 5 | -8.66 | 0.0 | 13.8 |
| 6 | -4.96 | 0.0 | 15.5 |
| 7 | -4.95 | 0.1 | 10.5 |
| 8 | -7.13 | 0.0 | 19.0 |
| 9 | -5.04 | 3.0 | 6.7 |
| 10 | -6.39 | 7.9 | 19.3 |
| 11 | -11.10 | 0.0 | 16.7 |
| 12 | -6.23 | 0.0 | 24.2 |
| 13 | -2.94 | 2.0 | 25.7 |
| 14 | -1.94 | 0.0 | 30.6 |
| 15 | -4.61 | 0.0 | 35.1 |
| 16 | -4.44 | 0.0 | 9.9 |
| 17 | -4.74 | 0.0 | 35.8 |
| 18 | -5.29 | 0.0 | 32.6 |
| 19 | -6.48 | 3.6 | 24.2 |
| 20 | -2.41 | 0.0 | 23.5 |